# 1
A plane-wave DFT calculation with PBE-GGA was carried out for HoMnCuGe2 after structural relaxation.

Geometry as extended XYZ:
```
5
Lattice="-1.281 -3.047 2.322 2.522 1.172 2.930 -4.409 4.062 -0.615" Properties=species:S:1:pos:R:3 pbc="T T T"
Cu -2.535 0.039 2.166
Mn -0.634 2.149 2.470
Ge -0.272 -0.201 3.099
Ho 0.000 0.000 0.000
Ge -2.896 2.389 1.537
```

Calculated values
Total magnetic moment ... 3.26 μB/f.u.


# 2
A plane-wave DFT calculation with PBE-GGA was carried out for Nd2HoCu2Ge2 after structural relaxation.

Geometry as extended XYZ:
```
7
Lattice="4.250 0.000 0.000 2.125 3.680 0.000 2.125 1.227 10.339" Properties=species:S:1:pos:R:3 pbc="T T T"
Nd 6.375 3.680 3.727
Ho 0.000 0.000 0.000
Cu 4.250 2.454 8.639
Nd 2.125 1.227 6.612
Ge 6.375 3.680 8.496
Ge 2.125 1.227 1.843
Cu 4.250 2.454 1.700
```

Calculated values
Total magnetic moment ... 0.00 μB/f.u.


# 3
A plane-wave DFT calculation with PBE-GGA was carried out for NdHo2Cu2Ge2 after structural relaxation.

Geometry as extended XYZ:
```
7
Lattice="4.317 0.000 0.000 2.158 3.738 0.000 2.158 1.246 9.350" Properties=species:S:1:pos:R:3 pbc="T T T"
Ho 2.158 1.246 5.775
Cu 4.317 2.492 7.344
Nd 0.000 0.000 0.000
Ge 6.475 3.738 7.296
Cu 4.317 2.492 2.006
Ho 6.475 3.738 3.575
Ge 2.158 1.246 2.054
```

Calculated values
Total magnetic moment ... 0.00 μB/f.u.


# 4
A plane-wave DFT calculation with PBE-GGA was carried out for NdHoCu2Ge2 after structural relaxation.

Geometry as extended XYZ:
```
6
Lattice="4.272 0.000 0.000 -2.136 3.699 0.000 0.000 0.000 7.566" Properties=species:S:1:pos:R:3 pbc="T T T"
Nd 0.000 0.000 0.000
Ge 2.136 1.233 5.594
Cu 2.136 1.233 2.053
Ho 0.000 0.000 3.783
Cu 0.000 2.466 5.512
Ge 0.000 2.466 1.972
```

Calculated values
Total magnetic moment ... 0.00 μB/f.u.


| no. | formation enthalpy at 0 K (kJ/mol of atoms) |
| --- | --- |
| 1 | -43 |
| 2 | -49 |
| 3 | -47 |
| 4 | -65 |